# 1
First-principles (PBE-GGA) data for SrTi2HgO6 after structural relaxation, as listed in Alexandria via LeMat-Bulk.

abc: 7.428 7.428 6.449
angles: 105.90 105.90 98.38
Fractional positions:
Sr1 0.097 0.903 0.750
Sr2 0.903 0.097 0.250
Ti1 0.275 0.422 0.807
Ti2 0.422 0.275 0.307
Ti3 0.578 0.725 0.693
Ti4 0.725 0.578 0.193
Hg1 0.251 0.749 0.250
Hg2 0.749 0.251 0.750
O1 0.076 0.217 0.675
O2 0.161 0.624 0.898
O3 0.217 0.076 0.175
O4 0.348 0.423 0.546
O5 0.376 0.839 0.602
O6 0.423 0.348 0.046
O7 0.577 0.652 0.954
O8 0.624 0.161 0.398
O9 0.652 0.577 0.454
O10 0.783 0.924 0.825
O11 0.839 0.376 0.102
O12 0.924 0.783 0.325

## Properties
raw formation energy	-25.15	eV per formula unit
Fermi-level density of states	0.0	states/eV per cell
energy	-7.27	eV/atom
space group	C2/c
crystal system	monoclinic

---

# 2
First-principles (PBE-GGA) data for Sr2Hg2As3 after structural relaxation, as listed in Alexandria via LeMat-Bulk.

abc: 8.707 8.707 12.527
angles: 125.67 125.67 30.33
Fractional positions:
Sr1 0.100 0.100 0.443
Sr2 0.232 0.232 0.833
Sr3 0.768 0.768 0.167
Sr4 0.900 0.900 0.557
Hg1 0.110 0.110 0.170
Hg2 0.453 0.453 0.186
Hg3 0.547 0.547 0.814
Hg4 0.890 0.890 0.830
As1 0.124 0.124 0.967
As2 0.337 0.337 0.680
As3 0.419 0.419 0.384
As4 0.581 0.581 0.616
As5 0.663 0.663 0.320
As6 0.876 0.876 0.033

## Properties
Fermi-level density of states	1.0	states/eV per cell
energy	-3.19	eV/atom
space group	C2/m
formation energy from the elements	-4.428	eV per formula unit
crystal system	monoclinic

---

# 3
First-principles (PBE-GGA) data for Ac3La12Ho after structural relaxation, as listed in Alexandria via LeMat-Bulk.

abc: 5.328 5.328 21.248
angles: 90.00 90.00 90.00
Fractional positions:
Ac1 0.000 0.000 0.000
Ac2 0.000 0.000 0.253
Ac3 0.000 0.000 0.747
La1 0.000 0.500 0.126
La2 0.000 0.500 0.380
La3 0.000 0.500 0.620
La4 0.000 0.500 0.874
La5 0.500 0.000 0.126
La6 0.500 0.000 0.380
La7 0.500 0.000 0.620
La8 0.500 0.000 0.874
La9 0.500 0.500 0.000
La10 0.500 0.500 0.255
La11 0.500 0.500 0.500
La12 0.500 0.500 0.745
Ho1 0.000 0.000 0.500

## Properties
Fermi-level density of states	29.3	states/eV per cell
energy	-4.74	eV/atom
space group	P4/mmm
formation energy from the elements	0.228	eV per formula unit
crystal system	tetragonal